Arrangement w

Below is Be2AgPt after structural relaxation, with properties calculated at the PBE level.

Cell lengths 4.921, 4.921, 4.921 Å; angles 139.21, 139.21, 59.06 degrees
Fractional coordinates of all 4 atoms:
1 Be 0.000 0.000 0.000
2 Be 0.750 0.250 0.500
3 Ag 0.500 0.500 0.000
4 Pt 0.250 0.750 0.500

Summary:
Space-group type   I-4m2, No. 119

=====

Arrangement x

Below is Be2AgPt after structural relaxation, with properties calculated at the PBE level.

Cell lengths 5.070, 5.070, 5.070 Å; angles 147.60, 133.68, 57.65 degrees
Fractional coordinates of all 4 atoms:
1 Be 0.000 0.000 0.000
2 Be 0.756 0.256 0.500
3 Ag 0.490 0.490 0.000
4 Pt 0.214 0.714 0.500

Summary:
Space-group type   Imm2, No. 44

=====

What should be chosen as the least stable of them? Choose arrangement w.

=====

Arrangement w

Below is BeAgPt after structural relaxation, with properties calculated at the PBE level.

Cell lengths 5.431, 5.431, 5.431 Å; angles 149.34, 149.34, 43.91 degrees
Fractional coordinates of all 3 atoms:
1 Be 0.000 0.000 0.000
2 Ag 0.326 0.326 0.000
3 Pt 0.613 0.613 0.000

Summary:
Space-group type   I4mm, No. 107

=====

Arrangement x

Below is BeAgPt after structural relaxation, with properties calculated at the PBE level.

Cell lengths 6.249, 3.740, 10.807 Å; angles 90.00, 90.62, 90.00 degrees
Fractional coordinates of all 18 atoms:
1 Be 0.217 0.250 0.405
2 Be 0.222 0.750 0.086
3 Be 0.275 0.250 0.753
4 Be 0.725 0.750 0.247
5 Be 0.778 0.250 0.914
6 Be 0.783 0.750 0.595
7 Ag 0.014 0.250 0.213
8 Ag 0.373 0.750 0.578
9 Ag 0.465 0.750 0.883
10 Ag 0.535 0.250 0.117
11 Ag 0.627 0.250 0.422
12 Ag 0.986 0.750 0.787
13 Pt 0.031 0.250 0.593
14 Pt 0.155 0.250 0.959
15 Pt 0.360 0.750 0.289
16 Pt 0.640 0.250 0.711
17 Pt 0.845 0.750 0.041
18 Pt 0.969 0.750 0.407

Summary:
Space-group type   P2_1/m, No. 11

=====

What should be chosen as the least stable of them? Choose arrangement x.

=====

Arrangement w

Below is BeAgPt after structural relaxation, with properties calculated at the PBE level.

Cell lengths 4.059, 4.059, 3.026 Å; angles 90.00, 90.00, 120.00 degrees
Fractional coordinates of all 3 atoms:
1 Be 0.000 0.000 0.000
2 Ag 0.333 0.667 0.500
3 Pt 0.667 0.333 0.000

Summary:
Space-group type   P-6m2, No. 187

=====

Arrangement x

Below is BeAgPt after structural relaxation, with properties calculated at the PBE level.

Cell lengths 3.967, 3.967, 3.967 Å; angles 60.00, 60.00, 60.00 degrees
Fractional coordinates of all 3 atoms:
1 Be 0.000 0.000 0.000
2 Ag 0.250 0.250 0.250
3 Pt 0.750 0.750 0.750

Summary:
Space-group type   F-43m, No. 216

=====

What should be chosen as the least stable of them? Choose arrangement w.

=====

Arrangement w

Below is RbBeAg after structural relaxation, with properties calculated at the PBE level.

Cell lengths 4.186, 5.578, 6.906 Å; angles 113.34, 90.19, 90.00 degrees
Fractional coordinates of all 6 atoms:
1 Rb 0.000 0.000 0.000
2 Rb 0.500 0.493 0.999
3 Be 0.998 0.388 0.512
4 Be 0.999 0.872 0.487
5 Ag 0.498 0.637 0.520
6 Ag 0.499 0.118 0.480

Summary:
Space-group type   P1, No. 1

=====

Arrangement x

Below is RbBeAg after structural relaxation, with properties calculated at the PBE level.

Cell lengths 4.418, 5.774, 7.121 Å; angles 113.38, 107.96, 90.18 degrees
Fractional coordinates of all 6 atoms:
1 Rb 0.000 0.000 0.000
2 Rb 0.444 0.446 0.890
3 Be 0.446 0.545 0.444
4 Be 0.450 0.911 0.447
5 Ag 0.782 0.229 0.445
6 Ag 0.959 0.729 0.445

Summary:
Space-group type   P1, No. 1

=====

What should be chosen as the least stable of them? Choose arrangement w.

=====

Arrangement w

Below is RbBeAg after structural relaxation, with properties calculated at the PBE level.

Cell lengths 3.416, 3.508, 6.737 Å; angles 74.95, 75.35, 89.99 degrees
Fractional coordinates of all 3 atoms:
1 Rb 0.000 0.000 0.000
2 Be 0.754 0.253 0.499
3 Ag 0.252 0.752 0.502

Summary:
Space-group type   P1, No. 1

=====

Arrangement x

Below is RbBeAg after structural relaxation, with properties calculated at the PBE level.

Cell lengths 4.003, 4.678, 11.009 Å; angles 90.00, 100.06, 90.00 degrees
Fractional coordinates of all 6 atoms:
1 Rb 0.143 0.000 0.297
2 Rb 0.857 0.500 0.703
3 Be 0.000 0.255 0.000
4 Be 0.000 0.755 0.000
5 Ag 0.467 0.004 0.931
6 Ag 0.533 0.504 0.069

Summary:
Space-group type   P2_1, No. 4

=====

Arrangement y

Below is RbBeAg after structural relaxation, with properties calculated at the PBE level.

Cell lengths 6.778, 6.778, 5.612 Å; angles 97.37, 97.37, 35.92 degrees
Fractional coordinates of all 6 atoms:
1 Rb 0.222 0.222 0.241
2 Rb 0.778 0.778 0.759
3 Be 0.019 0.019 0.721
4 Be 0.981 0.981 0.279
5 Ag 0.500 0.500 0.000
6 Ag 0.500 0.500 0.500

Summary:
Space-group type   C2/m, No. 12

=====

What should be chosen as the least stable of them? Choose arrangement w.

=====

Arrangement w

Below is RbBeAg3 after structural relaxation, with properties calculated at the PBE level.

Cell lengths 6.100, 6.100, 6.100 Å; angles 90.00, 90.00, 90.00 degrees
Fractional coordinates of all 5 atoms:
1 Rb 0.000 0.000 0.000
2 Be 0.500 0.500 0.500
3 Ag 0.000 0.000 0.500
4 Ag 0.000 0.500 0.000
5 Ag 0.500 0.000 0.000

Summary:
Space-group type   Pm-3m, No. 221

=====

Arrangement x

Below is RbBeAg3 after structural relaxation, with properties calculated at the PBE level.

Cell lengths 4.868, 4.868, 4.868 Å; angles 90.00, 90.00, 90.00 degrees
Fractional coordinates of all 5 atoms:
1 Rb 0.000 0.000 0.000
2 Be 0.500 0.500 0.500
3 Ag 0.000 0.500 0.500
4 Ag 0.500 0.000 0.500
5 Ag 0.500 0.500 0.000

Summary:
Space-group type   Pm-3m, No. 221

=====

What should be chosen as the least stable of them? Choose arrangement w.

=====

Arrangement w

Below is Be2ReAg after structural relaxation, with properties calculated at the PBE level.

Cell lengths 4.070, 4.070, 4.070 Å; angles 60.00, 60.00, 60.00 degrees
Fractional coordinates of all 4 atoms:
1 Be 0.250 0.250 0.250
2 Be 0.750 0.750 0.750
3 Re 0.000 0.000 0.000
4 Ag 0.500 0.500 0.500

Summary:
Space-group type   Fm-3m, No. 225

=====

Arrangement x

Below is Be2ReAg after structural relaxation, with properties calculated at the PBE level.

Cell lengths 2.694, 3.991, 4.713 Å; angles 90.00, 106.48, 90.00 degrees
Fractional coordinates of all 4 atoms:
1 Be 0.000 0.000 0.000
2 Be 0.159 0.500 0.321
3 Re 0.727 0.000 0.459
4 Ag 0.424 0.500 0.848

Summary:
Space-group type   Pm, No. 6

=====

Arrangement y

Below is Be2ReAg after structural relaxation, with properties calculated at the PBE level.

Cell lengths 4.202, 4.202, 5.129 Å; angles 98.63, 98.63, 36.12 degrees
Fractional coordinates of all 4 atoms:
1 Be 0.250 0.250 0.191
2 Be 0.750 0.750 0.809
3 Re 0.500 0.500 0.000
4 Ag 0.000 0.000 0.500

Summary:
Space-group type   C2/m, No. 12

=====

Arrangement z

Below is Be2ReAg after structural relaxation, with properties calculated at the PBE level.

Cell lengths 4.191, 4.191, 2.739 Å; angles 90.00, 90.00, 90.00 degrees
Fractional coordinates of all 4 atoms:
1 Be 0.000 0.500 0.000
2 Be 0.500 0.000 0.000
3 Re 0.000 0.000 0.500
4 Ag 0.500 0.500 0.500

Summary:
Space-group type   P4/mmm, No. 123

=====

What should be chosen as the least stable of them? Choose arrangement w.

=====

Arrangement w

Below is Be2ReAg after structural relaxation, with properties calculated at the PBE level.

Cell lengths 5.147, 5.147, 5.147 Å; angles 106.33, 106.33, 115.96 degrees
Fractional coordinates of all 8 atoms:
1 Be 0.123 0.625 0.998
2 Be 0.375 0.373 0.498
3 Be 0.627 0.125 0.002
4 Be 0.875 0.877 0.502
5 Re 0.250 0.750 0.500
6 Re 0.500 0.500 0.000
7 Ag 0.000 0.000 0.000
8 Ag 0.750 0.250 0.500

Summary:
Space-group type   I-42d, No. 122

=====

Arrangement x

Below is Be2ReAg after structural relaxation, with properties calculated at the PBE level.

Cell lengths 4.216, 4.216, 4.216 Å; angles 60.00, 60.00, 60.00 degrees
Fractional coordinates of all 4 atoms:
1 Be 0.000 0.000 0.000
2 Be 0.250 0.250 0.250
3 Re 0.750 0.750 0.750
4 Ag 0.500 0.500 0.500

Summary:
Space-group type   F-43m, No. 216

=====

Arrangement y

Below is Be2ReAg after structural relaxation, with properties calculated at the PBE level.

Cell lengths 2.648, 2.648, 7.401 Å; angles 90.00, 90.00, 104.32 degrees
Fractional coordinates of all 4 atoms:
1 Be 0.000 0.000 0.240
2 Be 0.000 0.000 0.760
3 Re 0.500 0.500 0.000
4 Ag 0.500 0.500 0.500

Summary:
Space-group type   Cmmm, No. 65

=====

Arrangement z

Below is Be2ReAg after structural relaxation, with properties calculated at the PBE level.

Cell lengths 2.712, 3.078, 5.869 Å; angles 90.00, 90.00, 90.00 degrees
Fractional coordinates of all 4 atoms:
1 Be 0.000 0.000 0.225
2 Be 0.000 0.000 0.775
3 Re 0.500 0.500 0.000
4 Ag 0.500 0.500 0.500

Summary:
Space-group type   Pmmm, No. 47

=====

What should be chosen as the least stable of them? Choose arrangement x.

=====

Arrangement w

Below is Be2ReAg after structural relaxation, with properties calculated at the PBE level.

Cell lengths 8.496, 8.496, 8.496 Å; angles 18.25, 18.25, 18.25 degrees
Fractional coordinates of all 4 atoms:
1 Be 0.000 0.000 0.000
2 Be 0.262 0.262 0.262
3 Re 0.517 0.517 0.517
4 Ag 0.749 0.749 0.749

Summary:
Space-group type   R3m, No. 160

=====

Arrangement x

Below is Be2ReAg after structural relaxation, with properties calculated at the PBE level.

Cell lengths 8.134, 8.134, 8.134 Å; angles 19.33, 19.33, 19.33 degrees
Fractional coordinates of all 4 atoms:
1 Be 0.248 0.248 0.248
2 Be 0.752 0.752 0.752
3 Re 0.500 0.500 0.500
4 Ag 0.000 0.000 0.000

Summary:
Space-group type   R-3m, No. 166

=====

What should be chosen as the least stable of them? Choose arrangement w.

=====

Arrangement w

Below is Be2ReAg after structural relaxation, with properties calculated at the PBE level.

Cell lengths 5.090, 5.090, 5.090 Å; angles 149.79, 131.50, 58.21 degrees
Fractional coordinates of all 4 atoms:
1 Be 0.000 0.000 0.000
2 Be 0.778 0.278 0.500
3 Re 0.254 0.754 0.500
4 Ag 0.535 0.535 0.000

Summary:
Space-group type   Imm2, No. 44

=====

Arrangement x

Below is Be2ReAg after structural relaxation, with properties calculated at the PBE level.

Cell lengths 4.990, 4.990, 4.990 Å; angles 140.69, 140.69, 56.81 degrees
Fractional coordinates of all 4 atoms:
1 Be 0.000 0.000 0.000
2 Be 0.750 0.250 0.500
3 Re 0.250 0.750 0.500
4 Ag 0.500 0.500 0.000

Summary:
Space-group type   I-4m2, No. 119

=====

Arrangement y

Below is Be2ReAg after structural relaxation, with properties calculated at the PBE level.

Cell lengths 4.695, 4.695, 4.373 Å; angles 106.00, 106.00, 32.22 degrees
Fractional coordinates of all 4 atoms:
1 Be 0.000 0.000 0.000
2 Be 0.715 0.715 0.346
3 Re 0.469 0.469 0.471
4 Ag 0.247 0.247 0.862

Summary:
Space-group type   Cm, No. 8

=====

What should be chosen as the least stable of them? Choose arrangement x.

=====

Arrangement w

Below is Be3ReAg after structural relaxation, with properties calculated at the PBE level.

Cell lengths 4.105, 4.105, 4.105 Å; angles 90.00, 90.00, 90.00 degrees
Fractional coordinates of all 5 atoms:
1 Be 0.000 0.000 0.500
2 Be 0.000 0.500 0.000
3 Be 0.500 0.000 0.000
4 Re 0.500 0.500 0.500
5 Ag 0.000 0.000 0.000

Summary:
Space-group type   Pm-3m, No. 221

=====

Arrangement x

Below is Be3ReAg after structural relaxation, with properties calculated at the PBE level.

Cell lengths 4.256, 4.256, 4.256 Å; angles 90.00, 90.00, 90.00 degrees
Fractional coordinates of all 5 atoms:
1 Be 0.000 0.000 0.500
2 Be 0.000 0.500 0.000
3 Be 0.500 0.000 0.000
4 Re 0.000 0.000 0.000
5 Ag 0.500 0.500 0.500

Summary:
Space-group type   Pm-3m, No. 221

=====

What should be chosen as the least stable of them? Choose arrangement w.